A plane-wave DFT calculation with PBE-GGA was carried out for a geometry-optimized CoSb2Ru structure.

V, Å³/cell: 210.7
Formation energy (no corrections), eV/atom: 0.1698
Polymorph energy (0 for the lowest one), eV per atom: 0.1337
N(E_F), states/eV/atom: 0.7469

a b c (Å): 3.2242 3.2242 23.4019
angles (deg): 90.00 90.00 120.00
Space group R-3m (No. 166, hexagonal axes)
Unique sites:
Co 0.0000 0.0000 0.0000 x3
Sb 0.0000 0.0000 0.2527 x6
Ru 0.0000 0.0000 0.5000 x3